No. 1
UFeCo17 | the Alexandria database | PBE-GGA | optimized geometry; symmetry = R3m; E_form = 64 meV per atom
1.0
4.067 2.348 4.002
-4.067 2.348 4.002
0.000 -4.696 4.002
U Fe Co
1 1 17
Direct
0.000 0.000 0.000
0.332 0.332 0.332
0.002 0.002 0.501
0.002 0.501 0.002
0.151 0.645 0.645
0.298 0.298 0.802
0.298 0.802 0.298
0.352 0.647 0.945
0.352 0.945 0.647
0.501 0.002 0.002
0.549 0.549 0.549
0.645 0.151 0.645
0.645 0.645 0.151
0.647 0.352 0.945
0.647 0.945 0.352
0.750 0.750 0.750
0.802 0.298 0.298
0.945 0.352 0.647
0.945 0.647 0.352


No. 2
RbNpAu2I8 | the Alexandria database | PBE-GGA | optimized geometry; symmetry = R-3; formation energy without anion corrections = -0.52 eV/atom
1.0
3.701 2.137 11.140
-3.701 2.137 11.140
0.000 -4.273 11.140
Rb Np Au I
1 1 2 8
Direct
0.000 0.000 0.000
0.500 0.500 0.500
0.258 0.258 0.258
0.742 0.742 0.742
0.127 0.779 0.438
0.221 0.562 0.873
0.336 0.336 0.336
0.438 0.127 0.779
0.562 0.873 0.221
0.664 0.664 0.664
0.779 0.438 0.127
0.873 0.221 0.562


No. 3
Cs3Tc2Br8 | the Alexandria database | PBE-GGA | optimized geometry; symmetry = P-1; formation energy without anion corrections = -0.88 eV/atom
1.0
7.908 0.000 0.000
-3.949 6.892 0.000
-0.006 -4.547 9.375
Cs Tc Br
3 2 8
Direct
0.000 0.000 0.000
0.232 0.464 0.697
0.768 0.536 0.303
0.462 0.924 0.382
0.538 0.076 0.618
0.190 0.920 0.655
0.269 0.539 0.342
0.270 0.081 0.346
0.360 0.722 0.069
0.640 0.278 0.931
0.730 0.919 0.654
0.731 0.461 0.658
0.810 0.080 0.345


No. 4
AcZn2GaCu | the Alexandria database | PBE-GGA | optimized geometry; symmetry = Imm2; E_form = -329 meV per atom
1.0
-2.199 2.200 5.292
2.199 -2.200 5.292
2.199 2.200 -5.292
Ac Zn Ga Cu
1 2 1 1
Direct
0.000 0.000 0.000
0.384 0.384 0.000
0.748 0.248 0.500
0.246 0.746 0.500
0.624 0.624 0.000


No. 5
DyPaPdS4 | the Alexandria database | PBE-GGA | optimized geometry; symmetry = P2_1/m; formation energy without anion corrections = -1.40 eV/atom
1.0
6.365 0.000 0.000
0.000 6.591 0.000
-2.045 0.000 7.167
Dy Pa Pd S
2 2 2 8
Direct
0.200 0.250 0.042
0.800 0.750 0.958
0.223 0.250 0.551
0.777 0.750 0.449
0.240 0.750 0.336
0.760 0.250 0.664
0.025 0.517 0.750
0.025 0.983 0.750
0.483 0.750 0.128
0.488 0.750 0.637
0.512 0.250 0.363
0.517 0.250 0.872
0.975 0.017 0.250
0.975 0.483 0.250


No. 6
TbSmBiN | the Alexandria database | PBE-GGA | optimized geometry; symmetry = P4/nmm; formation energy without anion corrections = -1.25 eV/atom
1.0
4.613 0.000 0.000
0.000 4.613 0.000
0.000 0.000 9.245
Tb Sm Bi N
2 2 2 2
Direct
0.250 0.750 0.000
0.750 0.250 0.000
0.250 0.250 0.320
0.750 0.750 0.680
0.250 0.250 0.691
0.750 0.750 0.309
0.250 0.250 0.074
0.750 0.750 0.926


No. 7
Sm3TmGe2C | the Alexandria database | PBE-GGA | optimized geometry; symmetry = Immm; E_form = -613 meV per atom
1.0
-2.338 2.402 7.787
2.338 -2.402 7.787
2.338 2.402 -7.787
Sm Tm Ge C
3 1 2 1
Direct
0.000 0.000 0.000
0.332 0.832 0.500
0.668 0.168 0.500
0.500 0.500 0.000
0.135 0.635 0.500
0.865 0.365 0.500
0.500 0.000 0.500


No. 8
In3GaPd12 | the Alexandria database | PBE-GGA | optimized geometry; symmetry = P4/mmm; E_form = -433 meV per atom
1.0
4.028 0.000 0.000
0.000 4.028 0.000
0.000 0.000 15.879
In Ga Pd
3 1 12
Direct
0.000 0.000 0.000
0.000 0.000 0.255
0.000 0.000 0.745
0.000 0.000 0.500
0.000 0.500 0.127
0.000 0.500 0.383
0.000 0.500 0.617
0.000 0.500 0.873
0.500 0.000 0.127
0.500 0.000 0.383
0.500 0.000 0.617
0.500 0.000 0.873
0.500 0.500 0.000
0.500 0.500 0.255
0.500 0.500 0.500
0.500 0.500 0.745


No. 9
Mo2AsRh | the Alexandria database | PBE-GGA | optimized geometry; symmetry = R-3m; E_form = 117 meV per atom
1.0
1.423 0.821 8.773
-1.423 0.821 8.773
0.000 -1.643 8.773
Mo As Rh
2 1 1
Direct
0.249 0.249 0.249
0.751 0.751 0.751
0.500 0.500 0.500
0.000 0.000 0.000


No. 10
Ti4Ni | the Alexandria database | PBE-GGA | optimized geometry; relative energy among the computed polymorphs = 0 meV/atom; symmetry = Fdd2; E_form = -49 meV per atom
1.0
0.000 6.372 2.561
4.875 0.000 2.561
4.875 6.372 0.000
Ti Ni
8 2
Direct
0.171 0.854 0.029
0.221 0.303 0.079
0.251 0.749 0.355
0.303 0.221 0.396
0.605 0.895 0.501
0.749 0.251 0.645
0.854 0.171 0.947
0.895 0.605 0.999
0.466 0.466 0.534
0.716 0.716 0.784